Entry 1:
Material: BH2RhS
Method: DFT, GGA-PBEsol
State: optimized geometry

a b c (Å): 3.212 3.212 4.536
angles (deg): 90.00 90.00 90.00
Space group P4/mmm (No. 123)
Unique sites:
B: 0.000 0.000 0.000
H: 0.000 0.500 0.000
Rh: 0.500 0.500 0.500
S: 0.000 0.000 0.500

N(E_F)   3.14 states/eV/f.u.
Crystal system   tetragonal
Total magnetization   0.00 μB per cell
Total DFT energy (no corrections)   -4.577 eV per atom

=====

Entry 2:
Material: TcBHRu2
Method: DFT, GGA-PBEsol
State: optimized geometry

a b c (Å): 4.337 4.337 2.821
angles (deg): 90.00 90.00 90.00
Space group P4/mmm (No. 123)
Unique sites:
Tc: 0.000 0.000 0.000
B: 0.500 0.500 0.500
H: 0.500 0.500 0.000
Ru: 0.000 0.500 0.500

N(E_F)   4.30 states/eV/f.u.
Crystal system   tetragonal
Total magnetization   0.00 μB per cell
Total DFT energy (no corrections)   -7.744 eV per atom

=====

Entry 3:
Material: TlBHS2
Method: DFT, GGA-PBEsol
State: optimized geometry

a b c (Å): 4.477 4.477 3.355
angles (deg): 90.00 90.00 90.00
Space group P4/mmm (No. 123)
Unique sites:
Tl: 0.000 0.000 0.000
B: 0.500 0.500 0.500
H: 0.500 0.500 0.000
S: 0.000 0.500 0.500

N(E_F)   0.68 states/eV/f.u.
Crystal system   tetragonal
Total magnetization   0.00 μB per cell
Total DFT energy (no corrections)   -3.929 eV per atom

=====

Entry 4:
Material: B2SbH
Method: DFT, GGA-PBEsol
State: optimized geometry

a b c (Å): 5.645 5.645 5.645
angles (deg): 90.00 90.00 90.00
Space group Fm-3m (No. 225)
Unique sites:
B: 0.250 0.250 0.250
Sb: 0.000 0.000 0.000
H: 0.000 0.000 0.500

N(E_F)   1.66 states/eV/f.u.
Crystal system   cubic
Total magnetization   0.00 μB per cell
Total DFT energy (no corrections)   -3.802 eV per atom

=====

Entry 5:
Material: BSbTe2H
Method: DFT, GGA-PBEsol
State: optimized geometry

a b c (Å): 4.904 4.904 4.594
angles (deg): 90.00 90.00 90.00
Space group P4/mmm (No. 123)
Unique sites:
B: 0.000 0.000 0.000
Sb: 0.000 0.000 0.500
Te: 0.000 0.500 0.000
H: 0.500 0.500 0.500

N(E_F)   3.70 states/eV/f.u.
Crystal system   tetragonal
Total magnetization   0.58 μB per cell
Total DFT energy (no corrections)   -3.286 eV per atom

=====

Entry 6:
Material: ScTaB2H
Method: DFT, GGA-PBEsol
State: optimized geometry

a b c (Å): 4.169 4.169 3.253
angles (deg): 90.00 90.00 90.00
Space group P4/mmm (No. 123)
Unique sites:
Sc: 0.000 0.000 0.000
Ta: 0.500 0.500 0.500
B: 0.000 0.500 0.000
H: 0.000 0.000 0.500

N(E_F)   2.26 states/eV/f.u.
Crystal system   tetragonal
Total magnetization   0.00 μB per cell
Total DFT energy (no corrections)   -6.415 eV per atom

=====

Entry 7:
Material: BHSe2
Method: DFT, GGA-PBEsol
State: optimized geometry

a b c (Å): 3.7156 3.7156 18.1791
angles (deg): 90.00 90.00 120.00
Space group R-3m (No. 166, hexagonal axes)
Unique sites:
B: 0.0000 0.0000 0.0000
H: 0.0000 0.0000 0.5000
Se: 0.0000 0.0000 0.1000

N(E_F)   1.72 states/eV/f.u.
Energy relative to the lowest polymorph listed for this composition   0.00 eV/f.u.
Crystal system   trigonal
Total magnetization   0.00 μB per cell
Total DFT energy (no corrections)   -3.742 eV per atom

=====

Entry 8:
Material: BHSe2
Method: DFT, GGA-PBEsol
State: optimized geometry

a b c (Å): 5.770 5.770 5.770
angles (deg): 90.00 90.00 90.00
Space group Fm-3m (No. 225)
Unique sites:
B: 0.000 0.000 0.000
H: 0.000 0.000 0.500
Se: 0.250 0.250 0.250

N(E_F)   1.35 states/eV/f.u.
Energy relative to the lowest polymorph listed for this composition   1.60 eV/f.u.
Crystal system   cubic
Total magnetization   0.00 μB per cell
Total DFT energy (no corrections)   -3.342 eV per atom

=====

Entry 9:
Material: SnBH3
Method: DFT, GGA-PBEsol
State: optimized geometry

a b c (Å): 3.840 3.840 3.840
angles (deg): 90.00 90.00 90.00
Space group Pm-3m (No. 221)
Unique sites:
Sn: 0.000 0.000 0.000
B: 0.500 0.500 0.500
H: 0.000 0.000 0.500

N(E_F)   1.79 states/eV/f.u.
Crystal system   cubic
Total magnetization   0.00 μB per cell
Total DFT energy (no corrections)   -2.915 eV per atom

=====

Entry 10:
Material: SrBH2
Method: DFT, GGA-PBEsol
State: optimized geometry

a b c (Å): 4.113 4.113 9.893
angles (deg): 90.00 90.00 90.00
Space group I4_1/amd (No. 141, origin choice 2)
Unique sites:
Sr: 0.000 0.250 0.375
B: 0.000 0.250 0.875
H: 0.000 0.000 0.000

N(E_F)   1.68 states/eV/f.u.
Energy relative to the lowest polymorph listed for this composition   0.00 eV/f.u.
Crystal system   tetragonal
Total magnetization   0.00 μB per cell
Total DFT energy (no corrections)   -3.542 eV per atom

=====

Entry 11:
Material: SrBH2
Method: DFT, GGA-PBEsol
State: optimized geometry

a b c (Å): 5.652 5.652 5.652
angles (deg): 90.00 90.00 90.00
Space group Fm-3m (No. 225)
Unique sites:
Sr: 0.000 0.000 0.000
B: 0.000 0.000 0.500
H: 0.250 0.250 0.250

N(E_F)   2.50 states/eV/f.u.
Energy relative to the lowest polymorph listed for this composition   1.16 eV/f.u.
Crystal system   cubic
Total magnetization   0.02 μB per cell
Total DFT energy (no corrections)   -3.253 eV per atom

=====

Entry 12:
Material: TcB2H2
Method: DFT, GGA-PBEsol
State: optimized geometry

a b c (Å): 4.790 4.790 2.945
angles (deg): 90.00 90.00 90.00
Space group P4/mbm (No. 127)
Unique sites:
Tc: 0.000 0.000 0.000
B: 0.124 0.376 0.500
H: 0.153 0.347 0.000

N(E_F)   1.48 states/eV/f.u.
Crystal system   tetragonal
Total magnetization   1.34 μB per cell
Total DFT energy (no corrections)   -5.910 eV per atom

=====

What did the sixth record say?
Material: ScTaB2H
Method: DFT, GGA-PBEsol
State: optimized geometry

a b c (Å): 4.169 4.169 3.253
angles (deg): 90.00 90.00 90.00
Space group P4/mmm (No. 123)
Unique sites:
Sc: 0.000 0.000 0.000
Ta: 0.500 0.500 0.500
B: 0.000 0.500 0.000
H: 0.000 0.000 0.500

N(E_F)   2.26 states/eV/f.u.
Crystal system   tetragonal
Total magnetization   0.00 μB per cell
Total DFT energy (no corrections)   -6.415 eV per atom